Here is crystalline ZrSnH at its relaxed geometry from Alexandria via LeMat-Bulk. Energies are from PBE-GGA.

Computed properties:
Energy above the lowest structure with this stoichiometry in eV/atom: 0.1953
E in eV/atom: -5.584
Symmetry: I4_1/a

Cell and atoms, written as POSCAR:
```
ZrSnH
1.0
7.201 0.000 0.000
3.600 10.790 0.000
3.600 0.000 10.790
H Sn Zr
16 16 16
Cartesian
6.121 4.686 0.849 H
7.921 6.244 0.709 H
7.921 4.546 10.081 H
6.121 6.104 9.941 H
2.881 0.709 4.546 H
11.882 9.941 4.686 H
4.681 0.849 6.104 H
10.081 10.081 6.244 H
2.324 3.661 0.460 H
4.124 5.855 1.734 H
11.325 4.935 9.056 H
9.524 7.129 10.330 H
6.678 1.734 4.935 H
8.478 10.330 3.661 H
8.478 0.460 7.129 H
6.678 9.056 5.855 H
2.531 3.595 3.976 Sn
4.331 9.371 1.800 Sn
4.331 1.419 8.990 Sn
9.731 7.195 6.814 Sn
6.471 1.800 1.419 Sn
8.271 6.814 3.595 Sn
8.271 3.976 7.195 Sn
6.471 8.990 9.371 Sn
4.795 7.021 4.326 Sn
10.196 9.721 9.164 Sn
2.995 1.069 1.626 Sn
4.795 3.769 6.464 Sn
7.806 9.164 1.069 Sn
6.006 6.464 7.021 Sn
6.006 4.326 3.769 Sn
7.806 1.626 9.721 Sn
8.091 4.434 1.676 Zr
2.690 7.071 0.961 Zr
9.891 3.719 9.829 Zr
8.091 6.356 9.114 Zr
8.111 0.961 3.719 Zr
9.911 9.114 4.434 Zr
2.710 1.676 6.356 Zr
8.111 9.829 7.071 Zr
5.953 6.660 1.507 Zr
11.353 6.902 9.525 Zr
4.152 3.888 1.265 Zr
5.953 4.130 9.283 Zr
6.649 9.525 3.888 Zr
12.050 9.283 6.660 Zr
4.849 1.507 4.130 Zr
6.649 1.265 6.902 Zr
```